This record from Alexandria via LeMat-Bulk describes an optimized crystal structure of MnBrO2. The functional is GGA+U.

Cell: 5.886 5.886 8.340 Å, 90.00 90.00 90.00°
Space group I-42d (No. 122)
One atom of each set of equivalent atoms:
Mn1 0.000 0.000 0.000 (multiplicity 4)
Br1 0.000 0.000 0.500 (multiplicity 4)
O1 0.009 0.250 0.125 (multiplicity 8)

Output
As for the uncorrected energy: -5.210 eV/atom. The density of states at the Fermi level comes out at 0.89 states/eV per atom. The value obtained for the volume is 289.0 Å³ per cell.